Compound: Hf4GaBi2
Source: Alexandria via LeMat-Bulk
Functional: PBE
Structure: optimized geometry

Final energy, eV/atom: -7.289
N(E_F), states/eV per cell: 10.4

a = 7.5945 Å, b = 10.8617 Å, c = 4.1485 Å
α = 90.00°, β = 90.00°, γ = 90.00°
Last column: nearest neighbours and their distance in Å.
Sites, in units of the cell vectors:
Hf 0.1566 0.2163 0.0000  1 Ga 2.63
Hf 0.1929 0.9326 0.5000  2 Ga 2.64
Hf 0.3071 0.4326 0.5000  2 Ga 2.64
Hf 0.3434 0.7163 0.0000  1 Ga 2.63
Hf 0.6566 0.2837 0.0000  1 Ga 2.63
Hf 0.6929 0.5674 0.5000  2 Ga 2.64
Hf 0.8071 0.0674 0.5000  2 Ga 2.64
Hf 0.8434 0.7837 0.0000  1 Ga 2.63
Ga 0.0000 0.0000 0.0000  6 Hf 2.63-2.64
Ga 0.5000 0.5000 0.0000  6 Hf 2.63-2.64
Bi 0.0700 0.6573 0.5000  7 Hf 3.00-3.13
Bi 0.4300 0.1573 0.5000  7 Hf 3.00-3.13
Bi 0.5700 0.8427 0.5000  7 Hf 3.00-3.13
Bi 0.9300 0.3427 0.5000  7 Hf 3.00-3.13